Material: La2Pm2Sm4Y
Method: DFT, PBE
State: optimized geometry

Total magnetization ... 0.0 μB per cell
Volume ... 622.64 Å³/cell
Formation energy from the elements ... 0.07 eV/f.u.

```
data_La2Pm2Sm4Y
_chemical_formula_sum 'La4 Pm4 Sm8 Y2'
_symmetry_space_group_name_H-M 'C 1 2/m 1'
_symmetry_Int_Tables_number 12
_cell_length_a 19.129
_cell_length_b 3.688
_cell_length_c 9.794
_cell_angle_alpha 90.00
_cell_angle_beta 115.70
_cell_angle_gamma 90.00
loop_
_symmetry_equiv_pos_as_xyz
'x,y,z'
'-x,-y,-z'
'-x,y,-z'
'x,-y,z'
'x+1/2,y+1/2,z'
'-x+1/2,-y+1/2,-z'
'-x+1/2,y+1/2,-z'
'x+1/2,-y+1/2,z'
loop_
_atom_site_label
_atom_site_fract_x
_atom_site_fract_y
_atom_site_fract_z
La1 0.166 0.000 0.000
Pm1 0.147 0.500 0.665
Sm1 0.019 0.000 0.333
Sm2 0.185 0.500 0.335
Y1 0.000 0.500 0.000
```

***

Material: Y3PaTl4Se8
Method: DFT, PBE
State: optimized geometry

Total magnetization ... 6.2 μB per cell
Volume ... 1424.38 Å³/cell
Formation energy from raw total energies ... -1.268 eV/atom

```
data_Y3PaTl4Se8
_chemical_formula_sum 'Y9 Pa3 Tl12 Se24'
_symmetry_space_group_name_H-M 'R -3 m'
_symmetry_Int_Tables_number 166
_symmetry_space_group_name_Hall '-R 3 2"'
_cell_length_a 8.3556
_cell_length_b 8.3556
_cell_length_c 23.5567
_cell_angle_alpha 90.00
_cell_angle_beta 90.00
_cell_angle_gamma 120.00
loop_
_atom_site_label
_atom_site_fract_x
_atom_site_fract_y
_atom_site_fract_z
Y1 0.0000 0.5000 0.0000
Pa1 0.0000 0.0000 0.0000
Tl1 0.0000 0.0000 0.5000
Tl2 0.0000 0.5000 0.5000
Se1 0.0000 0.0000 0.2657
Se2 0.0011 0.5006 0.7353
```

***

Material: Ac4SiPbN
Method: DFT, PBE
State: optimized geometry

Total magnetization ... 0.0 μB per cell
Volume ... 924.29 Å³/cell
Formation energy from raw total energies ... -0.628 eV/atom

```
data_Ac4SiPbN
_chemical_formula_sum 'Ac16 Si4 Pb4 N4'
_symmetry_space_group_name_H-M 'C m c m'
_symmetry_Int_Tables_number 63
_symmetry_space_group_name_Hall '-C 2c 2'
_cell_length_a 7.188
_cell_length_b 17.765
_cell_length_c 7.238
_cell_angle_alpha 90.00
_cell_angle_beta 90.00
_cell_angle_gamma 90.00
loop_
_atom_site_label
_atom_site_fract_x
_atom_site_fract_y
_atom_site_fract_z
Ac1 0.000 0.062 0.250
Ac2 0.000 0.417 0.250
Ac3 0.250 0.250 0.000
Si1 0.000 0.118 0.750
Pb1 0.000 0.390 0.750
N1 0.000 0.277 0.250
```

***

Material: K2AgHg
Method: DFT, PBE
State: optimized geometry

Total magnetization ... 0.0 μB per cell
Volume ... 303.86 Å³/cell
Formation energy from the elements ... -0.51 eV/f.u.

```
data_K2AgHg
_chemical_formula_sum 'K4 Ag2 Hg2'
_symmetry_space_group_name_H-M 'A m m 2'
_symmetry_Int_Tables_number 38
_cell_length_a 4.902
_cell_length_b 4.942
_cell_length_c 12.543
_cell_angle_alpha 90.00
_cell_angle_beta 90.00
_cell_angle_gamma 90.00
loop_
_symmetry_equiv_pos_as_xyz
'x,y,z'
'-x,-y,z'
'-x,y,z'
'x,-y,z'
'x,y+1/2,z+1/2'
'-x,-y+1/2,z+1/2'
'-x,y+1/2,z+1/2'
'x,-y+1/2,z+1/2'
loop_
_atom_site_label
_atom_site_fract_x
_atom_site_fract_y
_atom_site_fract_z
K1 0.000 0.000 0.000
K2 0.500 0.000 0.289
Ag1 0.000 0.000 0.707
Hg1 0.500 0.000 0.580
```

***

Material: Sr2CrCl
Method: DFT, PBE
State: optimized geometry

Total magnetization ... 13.9 μB per cell
Volume ... 398.74 Å³/cell
Formation energy from raw total energies ... -0.370 eV/atom
Energy above the most stable polymorph in this dataset ... 49 meV/atom

```
data_Sr2CrCl
_chemical_formula_sum 'Sr6 Cr3 Cl3'
_symmetry_space_group_name_H-M 'R -3 m'
_symmetry_Int_Tables_number 166
_symmetry_space_group_name_Hall '-R 3 2"'
_cell_length_a 4.1630
_cell_length_b 4.1630
_cell_length_c 26.5575
_cell_angle_alpha 90.00
_cell_angle_beta 90.00
_cell_angle_gamma 120.00
loop_
_atom_site_label
_atom_site_fract_x
_atom_site_fract_y
_atom_site_fract_z
Sr1 0.0000 0.0000 0.2482
Cr1 0.0000 0.0000 0.0000
Cl1 0.0000 0.0000 0.5000
```

***

Material: LaTcGe2Pb
Method: DFT, PBE
State: optimized geometry

Total magnetization ... 0.0 μB per cell
Volume ... 128.94 Å³/cell
Formation energy from the elements ... -0.38 eV/f.u.

```
data_LaTcGe2Pb
_chemical_formula_sum 'La1 Tc1 Ge2 Pb1'
_symmetry_space_group_name_H-M 'P 4/m m m'
_symmetry_Int_Tables_number 123
_symmetry_space_group_name_Hall '-P 4 2'
_cell_length_a 4.916
_cell_length_b 4.916
_cell_length_c 5.335
_cell_angle_alpha 90.00
_cell_angle_beta 90.00
_cell_angle_gamma 90.00
loop_
_atom_site_label
_atom_site_fract_x
_atom_site_fract_y
_atom_site_fract_z
La1 0.000 0.000 0.000
Tc1 0.000 0.000 0.500
Ge1 0.000 0.500 0.500
Pb1 0.500 0.500 0.000
```

***

Material: TbSm8Al2
Method: DFT, PBE
State: optimized geometry

Total magnetization ... 0.0 μB per cell
Volume ... 691.88 Å³/cell
Formation energy from the elements ... 0.04 eV/f.u.

```
data_TbSm8Al2
_chemical_formula_sum 'Tb2 Sm16 Al4'
_symmetry_space_group_name_H-M 'C 1 2/m 1'
_symmetry_Int_Tables_number 12
_cell_length_a 8.865
_cell_length_b 14.925
_cell_length_c 5.738
_cell_angle_alpha 90.00
_cell_angle_beta 114.31
_cell_angle_gamma 90.00
loop_
_symmetry_equiv_pos_as_xyz
'x,y,z'
'-x,-y,-z'
'-x,y,-z'
'x,-y,z'
'x+1/2,y+1/2,z'
'-x+1/2,-y+1/2,-z'
'-x+1/2,y+1/2,-z'
'x+1/2,-y+1/2,z'
loop_
_atom_site_label
_atom_site_fract_x
_atom_site_fract_y
_atom_site_fract_z
Tb1 0.000 0.000 0.000
Sm1 0.000 0.224 0.000
Sm2 0.094 0.500 0.794
Sm3 0.206 0.118 0.612
Al1 0.000 0.307 0.500
```

***

Material: BaTlSb2
Method: DFT, PBE
State: optimized geometry

Total magnetization ... 0.0 μB per cell
Volume ... 447.06 Å³/cell
Formation energy from raw total energies ... -0.154 eV/atom
Energy above the most stable polymorph in this dataset ... 333 meV/atom

```
data_BaTlSb2
_chemical_formula_sum 'Ba3 Tl3 Sb6'
_symmetry_space_group_name_H-M 'R -3 m'
_symmetry_Int_Tables_number 166
_symmetry_space_group_name_Hall '-R 3 2"'
_cell_length_a 4.5893
_cell_length_b 4.5893
_cell_length_c 24.5102
_cell_angle_alpha 90.00
_cell_angle_beta 90.00
_cell_angle_gamma 120.00
loop_
_atom_site_label
_atom_site_fract_x
_atom_site_fract_y
_atom_site_fract_z
Ba1 0.0000 0.0000 0.0000
Tl1 0.0000 0.0000 0.5000
Sb1 0.0000 0.0000 0.2361
```

***

Material: NaHg2As2
Method: DFT, PBE
State: optimized geometry

Total magnetization ... 0.0 μB per cell
Volume ... 254.22 Å³/cell
Energy above the most stable polymorph in this dataset ... 0 meV/atom
Formation energy from the elements ... 0.05 eV/f.u.

```
data_NaHg2As2
_chemical_formula_sum 'Na2 Hg4 As4'
_symmetry_space_group_name_H-M 'I 4/m m m'
_symmetry_Int_Tables_number 139
_symmetry_space_group_name_Hall '-I 4 2'
_cell_length_a 4.553
_cell_length_b 4.553
_cell_length_c 12.262
_cell_angle_alpha 90.00
_cell_angle_beta 90.00
_cell_angle_gamma 90.00
loop_
_atom_site_label
_atom_site_fract_x
_atom_site_fract_y
_atom_site_fract_z
Na1 0.000 0.000 0.000
Hg1 0.000 0.500 0.250
As1 0.000 0.000 0.396
```

***

Material: SrGe2Sb2
Method: DFT, PBE
State: optimized geometry

Total magnetization ... 0.0 μB per cell
Volume ... 271.36 Å³/cell
Formation energy from raw total energies ... -0.050 eV/atom

```
data_SrGe2Sb2
_chemical_formula_sum 'Sr2 Ge4 Sb4'
_symmetry_space_group_name_H-M 'P 4/m b m'
_symmetry_Int_Tables_number 127
_symmetry_space_group_name_Hall '-P 4 2ab'
_cell_length_a 8.370
_cell_length_b 8.370
_cell_length_c 3.874
_cell_angle_alpha 90.00
_cell_angle_beta 90.00
_cell_angle_gamma 90.00
loop_
_atom_site_label
_atom_site_fract_x
_atom_site_fract_y
_atom_site_fract_z
Sr1 0.000 0.000 0.000
Ge1 0.156 0.344 0.500
Sb1 0.132 0.632 0.000
```

***

Material: BaLa3Ru
Method: DFT, PBE
State: optimized geometry

Total magnetization ... 0.0 μB per cell
Volume ... 394.55 Å³/cell
Energy above the most stable polymorph in this dataset ... 28 meV/atom
Formation energy from the elements ... -0.60 eV/f.u.

```
data_BaLa3Ru
_chemical_formula_sum 'Ba2 La6 Ru2'
_symmetry_space_group_name_H-M 'P 1'
_symmetry_Int_Tables_number 1
_cell_length_a 4.152
_cell_length_b 8.021
_cell_length_c 12.474
_cell_angle_alpha 83.21
_cell_angle_beta 80.45
_cell_angle_gamma 75.03
loop_
_symmetry_equiv_pos_as_xyz
'x,y,z'
loop_
_atom_site_label
_atom_site_fract_x
_atom_site_fract_y
_atom_site_fract_z
Ba1 0.000 0.000 0.000
Ba2 0.236 0.973 0.550
La1 0.245 0.470 0.037
La2 0.482 0.282 0.750
La3 0.500 0.739 0.261
La4 0.731 0.239 0.296
La5 0.757 0.693 0.789
La6 0.994 0.513 0.497
Ru1 0.114 0.488 0.281
Ru2 0.864 0.386 0.881
```

***

Material: YHg2P
Method: DFT, PBE
State: optimized geometry

Total magnetization ... 0.0 μB per cell
Volume ... 191.85 Å³/cell
Formation energy from the elements ... -1.84 eV/f.u.

```
data_YHg2P
_chemical_formula_sum 'Y2 Hg4 P2'
_symmetry_space_group_name_H-M 'C m m m'
_symmetry_Int_Tables_number 65
_symmetry_space_group_name_Hall '-C 2 2'
_cell_length_a 5.814
_cell_length_b 5.872
_cell_length_c 5.619
_cell_angle_alpha 90.00
_cell_angle_beta 90.00
_cell_angle_gamma 90.00
loop_
_atom_site_label
_atom_site_fract_x
_atom_site_fract_y
_atom_site_fract_z
Y1 0.000 0.000 0.000
Hg1 0.000 0.256 0.500
P1 0.000 0.500 0.000
```

***

no.,energy (eV/atom)
1,-4.958
2,-5.407
3,-5.470
4,-1.465
5,-4.079
6,-5.724
7,-4.530
8,-3.288
9,-2.235
10,-3.882
11,-5.315
12,-3.580